No. 1
DFT (PBE) results for a geometry-optimized Na2Ga3CuAu4 structure.

It has space group P-4m2 (No. 115), with a = 4.457 Å, b = 4.457 Å, c = 10.514 Å, α = 90.00°, β = 90.00° and γ = 90.00°. The asymmetric unit holds Na at (0.000, 0.500, 0.245), Ga at (0.000, 0.000, 0.000), Ga at (0.000, 0.500, 0.630), Cu at (0.500, 0.500, 0.000), Au at (0.000, 0.000, 0.500), Au at (0.000, 0.500, 0.869) and Au at (0.500, 0.500, 0.500).

The crystal system is tetragonal. Its final energy is -3.14 eV/atom. The value obtained for the density is 8.8 Mg/m³. Its formation energy is -0.2457 eV/atom.

***

No. 2
DFT (PBE) results for a geometry-optimized MnCl5 structure.

It has space group P-62m (No. 189), with a = 8.5128 Å, b = 8.5128 Å, c = 2.9071 Å, α = 90.00°, β = 90.00° and γ = 120.00°. The asymmetric unit holds Mn at (0.0000, 0.0000, 0.0000), Cl at (0.0000, 0.7864, 0.5000) and Cl at (0.3333, 0.6667, 0.0000).

The crystal system is hexagonal. Its final energy is -3.34 eV/atom. Its raw formation energy is -0.27 eV per atom. The value obtained for the density is 2.1 Mg/m³. The calculation puts the energy relative to the lowest polymorph listed for this composition at 28.8 kJ per mole of atoms.

***

No. 3
DFT (PBE) results for a geometry-optimized TaIrO2F structure.

It has space group P4/mmm (No. 123), with a = 3.986 Å, b = 3.986 Å, c = 4.119 Å, α = 90.00°, β = 90.00° and γ = 90.00°. The asymmetric unit holds Ta at (0.000, 0.000, 0.000), Ir at (0.500, 0.500, 0.500), O at (0.000, 0.500, 0.000) and F at (0.000, 0.000, 0.500).

The crystal system is tetragonal. Its final energy is -7.41 eV/atom. Its raw formation energy is -0.91 eV per atom. The value obtained for the density is 10.8 Mg/m³.

***

No. 4
DFT (PBE) results for a geometry-optimized LiPr2Sn3Au4 structure.

It has space group P-4m2 (No. 115), with a = 4.569 Å, b = 4.569 Å, c = 11.363 Å, α = 90.00°, β = 90.00° and γ = 90.00°. The asymmetric unit holds Li at (0.000, 0.000, 0.000), Pr at (0.000, 0.500, 0.735), Sn at (0.000, 0.500, 0.359), Sn at (0.500, 0.500, 0.000), Au at (0.000, 0.000, 0.500), Au at (0.000, 0.500, 0.127) and Au at (0.500, 0.500, 0.500).

The crystal system is tetragonal. Its final energy is -4.26 eV/atom. The value obtained for the density is 10.0 Mg/m³. Its formation energy is -0.6016 eV/atom.

***

No. 5
DFT (PBE) results for a geometry-optimized CaTbSm structure.

It has space group P4/nmm (No. 129, origin choice 2), with a = 3.662 Å, b = 3.662 Å, c = 15.850 Å, α = 90.00°, β = 90.00° and γ = 90.00°. The asymmetric unit holds Ca at (0.250, 0.250, 0.094), Tb at (0.250, 0.250, 0.421) and Sm at (0.250, 0.250, 0.731).

The crystal system is tetragonal. Its final energy is -3.75 eV/atom. The value obtained for the density is 5.5 Mg/m³. Its formation energy is 0.0372 eV/atom. The calculation puts the energy relative to the lowest polymorph listed for this composition at 0.0 kJ per mole of atoms.

***

No. 6
DFT (PBE) results for a geometry-optimized BeP2SF structure.

It has space group P4/mmm (No. 123), with a = 4.235 Å, b = 4.235 Å, c = 4.120 Å, α = 90.00°, β = 90.00° and γ = 90.00°. The asymmetric unit holds Be at (0.000, 0.000, 0.000), P at (0.000, 0.500, 0.000), S at (0.000, 0.000, 0.500) and F at (0.500, 0.500, 0.500).

The crystal system is tetragonal. Its final energy is -3.73 eV/atom. Its raw formation energy is 0.38 eV per atom. The value obtained for the density is 2.7 Mg/m³. The calculation puts the energy relative to the lowest polymorph listed for this composition at 0.0 kJ per mole of atoms.

***

No. 7
DFT (PBE) results for a geometry-optimized Zr2CdSe structure.

It has space group P4/mmm (No. 123), with a = 5.012 Å, b = 5.012 Å, c = 3.293 Å, α = 90.00°, β = 90.00° and γ = 90.00°. The asymmetric unit holds Zr at (0.000, 0.500, 0.000), Cd at (0.000, 0.000, 0.500) and Se at (0.500, 0.500, 0.500).

The crystal system is tetragonal. Its final energy is -5.73 eV/atom. Its raw formation energy is -0.36 eV per atom. The value obtained for the density is 7.5 Mg/m³. The calculation puts the energy relative to the lowest polymorph listed for this composition at 17.8 kJ per mole of atoms.

***

No. 8
DFT (PBE) results for a geometry-optimized CaSi2Mo structure.

It has space group I-42d (No. 122), with a = 4.949 Å, b = 4.949 Å, c = 16.254 Å, α = 90.00°, β = 90.00° and γ = 90.00°. The asymmetric unit holds Ca at (0.000, 0.000, 0.000), Si at (0.006, 0.250, 0.625) and Mo at (0.000, 0.000, 0.500).

The crystal system is tetragonal. Its final energy is -5.77 eV/atom. Its raw formation energy is 0.14 eV per atom. The value obtained for the density is 3.2 Mg/m³. The calculation puts the energy relative to the lowest polymorph listed for this composition at 41.4 kJ per mole of atoms.

***

No. 9
DFT (PBE) results for a geometry-optimized Dy2Ho8Hg structure.

It has space group C2/m (No. 12), with a = 19.201 Å, b = 5.514 Å, c = 6.344 Å, α = 90.00°, β = 95.29° and γ = 90.00°. The asymmetric unit holds Dy at (0.243, 0.000, 0.332), Ho at (0.044, 0.000, 0.266), Ho at (0.078, 0.500, 0.603), Ho at (0.155, 0.000, 0.800), Ho at (0.159, 0.500, 0.124) and Hg at (0.000, 0.500, 0.000).

The crystal system is monoclinic. Its final energy is -4.24 eV/atom. The value obtained for the density is 9.2 Mg/m³. Its formation energy is -0.0494 eV/atom.

***

No. 10
DFT (PBE) results for a geometry-optimized Ca2CdCl structure.

It has space group F-43m (No. 216), with a = 8.032 Å, b = 8.032 Å, c = 8.032 Å, α = 90.00°, β = 90.00° and γ = 90.00°. The asymmetric unit holds Ca at (0.000, 0.000, 0.000), Ca at (0.250, 0.250, 0.250), Cd at (0.250, 0.250, 0.750) and Cl at (0.000, 0.000, 0.500).

The crystal system is cubic. Its final energy is -1.94 eV/atom. Its raw formation energy is -0.25 eV per atom. The value obtained for the density is 2.9 Mg/m³. The calculation puts the energy relative to the lowest polymorph listed for this composition at 69.6 kJ per mole of atoms.

***

No. 11
DFT (PBE) results for a geometry-optimized KBaIr2 structure.

It has space group P2/m (No. 10), with a = 4.337 Å, b = 4.293 Å, c = 6.843 Å, α = 90.00°, β = 90.08° and γ = 90.00°. The asymmetric unit holds K at (0.000, 0.000, 0.000), Ba at (0.000, 0.000, 0.500) and Ir at (0.500, 0.500, 0.325).

The crystal system is monoclinic. Its final energy is -4.43 eV/atom. The value obtained for the density is 7.3 Mg/m³. Its formation energy is 0.7532 eV/atom. The calculation puts the energy relative to the lowest polymorph listed for this composition at 66.0 kJ per mole of atoms.

***

No. 12
DFT (PBE) results for a geometry-optimized CePr2Pa3As6 structure.

It has space group C2/m (No. 12), with a = 18.241 Å, b = 4.175 Å, c = 8.378 Å, α = 90.00°, β = 103.48° and γ = 90.00°. The asymmetric unit holds Ce at (0.000, 0.000, 0.000), Pr at (0.166, 0.500, 0.333), Pa at (0.000, 0.000, 0.500), Pa at (0.167, 0.500, 0.834), As at (0.004, 0.500, 0.745), As at (0.163, 0.000, 0.593) and As at (0.169, 0.000, 0.074).

The crystal system is monoclinic. Its final energy is -7.25 eV/atom. The value obtained for the density is 8.4 Mg/m³. Its formation energy is -1.2611 eV/atom.

***

- What is the final energy in the eleventh record?
  -4.43 eV/atom